Record 1
The following is a PBE calculation of an optimized crystal structure of Dy8In3Co, from the Alexandria database.

The calculation puts the raw total energy at -4.6964 eV/atom. The density of states at the Fermi level comes out at 0.31 states/eV per atom. The mass density is 8.7 g cm⁻³.

It has space group P6_3mc (No. 186), with a = 10.3690 Å, b = 10.3690 Å, c = 7.0048 Å, α = 90.00°, β = 90.00° and γ = 120.00°. The distinct sites, in fractional coordinates, are Dy at (0.0000, 0.0000, 0.2803), Dy at (0.0704, 0.5352, 0.2922), Dy at (0.1781, 0.3561, 0.0000), Dy at (0.3333, 0.6667, 0.6835), In at (0.1629, 0.3258, 0.5397) and Co at (0.3333, 0.6667, 0.0706).

---

Record 2
The following is a PBE calculation of an optimized crystal structure of LaNd3Dy6Th2, from the Alexandria database.

The calculation puts the raw total energy at -5.1186 eV/atom. The density of states at the Fermi level comes out at 1.32 states/eV per atom. The mass density is 8.5 g cm⁻³.

It has space group C2/m (No. 12), with a = 6.2622 Å, b = 10.8434 Å, c = 11.7786 Å, α = 90.00°, β = 100.22° and γ = 90.00°. The distinct sites, in fractional coordinates, are La at (0.0000, 0.0000, 0.0000), Nd at (0.0000, 0.1665, 0.5000), Nd at (0.0000, 0.5000, 0.5000), Dy at (0.2432, 0.5000, 0.2458), Dy at (0.2483, 0.3305, 0.7544) and Th at (0.0000, 0.3334, 0.0000).

---

Record 3
The following is a PBE calculation of an optimized crystal structure of Hf3Np, from the Alexandria database.

The calculation puts the raw total energy at -10.4790 eV/atom. The density of states at the Fermi level comes out at 1.98 states/eV per atom. The mass density is 14.2 g cm⁻³. For the energy above the most stable polymorph in this dataset, the calculation gives 0.0 meV/atom.

It has space group Pmm2 (No. 25), with a = 3.0796 Å, b = 5.1995 Å, c = 5.6480 Å, α = 90.00°, β = 90.00° and γ = 90.00°. The distinct sites, in fractional coordinates, are Hf at (0.0000, 0.0000, 0.0000), Hf at (0.0000, 0.5000, 0.3037), Hf at (0.5000, 0.5000, 0.8141) and Np at (0.5000, 0.0000, 0.5022).

---

Record 4
The following is a PBE calculation of an optimized crystal structure of Hf2Ti4Tl, from the Alexandria database.

The calculation puts the raw total energy at -6.4928 eV/atom. The density of states at the Fermi level comes out at 1.55 states/eV per atom. The mass density is 7.0 g cm⁻³. For the energy above the most stable polymorph in this dataset, the calculation gives 1072.0 meV/atom.

It has space group I4/mmm (No. 139), with a = 5.0580 Å, b = 5.0580 Å, c = 14.0618 Å, α = 90.00°, β = 90.00° and γ = 90.00°. The distinct sites, in fractional coordinates, are Hf at (0.0000, 0.0000, 0.1053), Ti at (0.0000, 0.0000, 0.3060), Ti at (0.0000, 0.5000, 0.0000) and Tl at (0.0000, 0.0000, 0.5000).

---

Record 5
The following is a PBE calculation of an optimized crystal structure of PBr4Cl, from the Alexandria database.

The calculation puts the raw total energy at -2.6570 eV/atom. The value obtained for the energy relative to the elements, uncorrected is -0.3324 eV per atom. The density of states at the Fermi level comes out at 0.00 states/eV per atom. The mass density is 2.5 g cm⁻³. For the energy above the most stable polymorph in this dataset, the calculation gives 0.0 meV/atom.

It has space group P2_1/m (No. 11), with a = 6.6753 Å, b = 8.5731 Å, c = 9.4892 Å, α = 90.00°, β = 109.50° and γ = 90.00°. The distinct sites, in fractional coordinates, are P at (0.0402, 0.2500, 0.2581), Br at (0.1565, 0.5366, 0.7858), Br at (0.2324, 0.2500, 0.1103), Br at (0.2386, 0.2500, 0.4958) and Cl at (0.4022, 0.2500, 0.8398).

---

Record 6
The following is a PBE calculation of an optimized crystal structure of CaCd2B2O6, from the Alexandria database.

The calculation puts the raw total energy at -6.3161 eV/atom. The value obtained for the energy relative to the elements, uncorrected is -2.0492 eV per atom. The density of states at the Fermi level comes out at 0.00 states/eV per atom. The mass density is 4.3 g cm⁻³.

It has space group P-3 (No. 147), with a = 5.3548 Å, b = 5.3548 Å, c = 6.0100 Å, α = 90.00°, β = 90.00° and γ = 120.00°. The distinct sites, in fractional coordinates, are Ca at (0.0000, 0.0000, 0.0000), Cd at (0.3333, 0.6667, 0.3015), B at (0.3333, 0.6667, 0.7678) and O at (0.0918, 0.6990, 0.7653).